The following is a PBE with a Hubbard U calculation of a geometry-optimized Sr2InFeO5 structure, from Alexandria via LeMat-Bulk.

The structure in extended XYZ format:
```
18
Lattice="3.420 0.000 0.000 -1.710 6.875 0.000 0.000 0.000 10.866" Properties=species:S:1:pos:R:3 pbc="T T T"
Sr 1.710 4.891 8.700
Sr 0.000 1.404 7.460
Sr 0.000 1.983 3.267
Sr 1.710 5.471 2.026
In 1.710 3.931 5.622
In 0.000 2.944 0.189
Fe 1.710 0.306 10.373
Fe 0.000 6.569 4.940
O 0.000 5.175 10.864
O 1.710 2.494 9.681
O 0.000 6.769 8.542
O 0.000 3.844 7.096
O 1.710 6.187 5.813
O 1.710 1.700 5.431
O 0.000 4.381 4.248
O 1.710 0.106 3.109
O 1.710 3.031 1.663
O 0.000 0.688 0.380
```

**Electronic total energy**: -6.156 eV per atom